This record from the Alexandria database describes a geometry-optimized Ta4NbOs structure. The functional is GGA-PBE.

Calculated values
DOS(E_F)   12.00 states/eV/cell
M_tot   0.00 μB per cell
DFT formation energy   0.336 eV per atom
ΔE to the lowest computed polymorph   409.5 meV per atom

Lattice parameters (Å, degrees): 9.463 9.463 5.436 90.00 90.00 151.04
Sites, in units of the cell vectors:
Ta (0.061, 0.939, 0.500)
Ta (0.210, 0.790, 0.371)
Ta (0.213, 0.787, 0.864)
Ta (0.371, 0.629, 0.687)
Ta (0.629, 0.371, 0.187)
Ta (0.787, 0.213, 0.364)
Ta (0.790, 0.210, 0.871)
Ta (0.939, 0.061, 0.000)
Nb (0.367, 0.633, 0.178)
Nb (0.633, 0.367, 0.678)
Os (0.081, 0.919, 0.013)
Os (0.919, 0.081, 0.513)



This record from the Alexandria database describes a geometry-optimized LiCuPO4 structure. The functional is GGA-PBE.

Calculated values
DOS(E_F)   4.25 states/eV/cell
M_tot   2.02 μB per cell
ΔE to the lowest computed polymorph   46.3 meV per atom

Lattice parameters (Å, degrees): 4.912 4.912 6.286 90.00 90.00 110.57
Sites, in units of the cell vectors:
Li (0.174, 0.826, 0.750)
Li (0.826, 0.174, 0.250)
Cu (0.500, 0.500, 0.000)
Cu (0.500, 0.500, 0.500)
P (0.153, 0.847, 0.250)
P (0.847, 0.153, 0.750)
O (0.188, 0.258, 0.750)
O (0.258, 0.188, 0.250)
O (0.260, 0.740, 0.047)
O (0.260, 0.740, 0.453)
O (0.740, 0.260, 0.547)
O (0.740, 0.260, 0.953)
O (0.742, 0.812, 0.750)
O (0.812, 0.742, 0.250)



This record from the Alexandria database describes a geometry-optimized Sr2GePd structure. The functional is GGA-PBE.

Calculated values
DOS(E_F)   1.80 states/eV/cell
M_tot   0.00 μB per cell
DFT formation energy   -0.615 eV per atom

Lattice parameters (Å, degrees): 8.464 8.464 8.464 30.42 30.42 30.42
Sites, in units of the cell vectors:
Sr (0.000, 0.000, 0.000)
Sr (0.166, 0.166, 0.166)
Ge (0.750, 0.750, 0.750)
Pd (0.416, 0.416, 0.416)



This record from the Alexandria database describes a geometry-optimized HfSc2Au structure. The functional is GGA-PBE.

Calculated values
DOS(E_F)   7.49 states/eV/cell
M_tot   0.36 μB per cell
DFT formation energy   0.076 eV per atom
ΔE to the lowest computed polymorph   448.8 meV per atom

Lattice parameters (Å, degrees): 10.734 10.734 10.734 16.79 16.79 16.79
Sites, in units of the cell vectors:
Hf (0.000, 0.000, 0.000)
Sc (0.095, 0.095, 0.095)
Sc (0.905, 0.905, 0.905)
Au (0.500, 0.500, 0.500)



This record from the Alexandria database describes a geometry-optimized CeEr2TmS6 structure. The functional is GGA-PBE.

Calculated values
DOS(E_F)   5.00 states/eV/cell
M_tot   1.00 μB per cell
Raw total energy   -6.45 eV/atom

Lattice parameters (Å, degrees): 7.340 7.340 7.340 56.34 56.34 56.34
Sites, in units of the cell vectors:
Ce (0.000, 0.000, 0.000)
Er (0.292, 0.292, 0.292)
Er (0.797, 0.797, 0.797)
Tm (0.493, 0.493, 0.493)
S (0.089, 0.674, 0.417)
S (0.198, 0.585, 0.894)
S (0.417, 0.089, 0.674)
S (0.585, 0.894, 0.198)
S (0.674, 0.417, 0.089)
S (0.894, 0.198, 0.585)



This record from the Alexandria database describes a geometry-optimized Tc2IrAu structure. The functional is GGA-PBE.

Calculated values
DOS(E_F)   5.21 states/eV/cell
M_tot   0.00 μB per cell
DFT formation energy   0.133 eV per atom
ΔE to the lowest computed polymorph   28.1 meV per atom

Lattice parameters (Å, degrees): 2.778 2.778 7.963 90.00 90.00 90.00
Sites, in units of the cell vectors:
Tc (0.000, 0.000, 0.000)
Tc (0.500, 0.500, 0.235)
Ir (0.500, 0.500, 0.771)
Au (0.000, 0.000, 0.499)



This record from the Alexandria database describes a geometry-optimized KBaNb structure. The functional is GGA-PBE.

Calculated values
DOS(E_F)   8.19 states/eV/cell
M_tot   0.00 μB per cell
DFT formation energy   0.404 eV per atom
ΔE to the lowest computed polymorph   0.0 meV per atom

Lattice parameters (Å, degrees): 3.778 17.829 3.777 90.00 90.00 90.00
Sites, in units of the cell vectors:
K (0.000, 0.111, 0.000)
K (0.500, 0.889, 0.500)
Ba (0.000, 0.667, 0.006)
Ba (0.500, 0.333, 0.506)
Nb (0.000, 0.474, 0.006)
Nb (0.500, 0.526, 0.506)



This record from the Alexandria database describes a geometry-optimized RhPb3 structure. The functional is GGA-PBE.

Calculated values
DOS(E_F)   5.39 states/eV/cell
M_tot   0.00 μB per cell
DFT formation energy   0.047 eV per atom

Lattice parameters (Å, degrees): 6.181 6.181 6.516 90.00 90.00 120.00
Sites, in units of the cell vectors:
Rh (0.333, 0.667, 0.000)
Rh (0.667, 0.333, 0.000)
Pb (0.000, 0.318, 0.724)
Pb (0.000, 0.682, 0.276)
Pb (0.318, 0.000, 0.724)
Pb (0.318, 0.318, 0.276)
Pb (0.682, 0.000, 0.276)
Pb (0.682, 0.682, 0.724)



This record from the Alexandria database describes a geometry-optimized PmInI structure. The functional is GGA-PBE.

Calculated values
DOS(E_F)   0.98 states/eV/cell
M_tot   0.00 μB per cell
Raw total energy   -3.91 eV/atom

Lattice parameters (Å, degrees): 12.447 12.447 12.447 21.27 21.27 21.27
Sites, in units of the cell vectors:
Pm (0.060, 0.060, 0.060)
Pm (0.940, 0.940, 0.940)
In (0.346, 0.346, 0.346)
In (0.654, 0.654, 0.654)
I (0.221, 0.221, 0.221)
I (0.779, 0.779, 0.779)



This record from the Alexandria database describes a geometry-optimized Zr2SiBi2 structure. The functional is GGA-PBE.

Calculated values
DOS(E_F)   3.27 states/eV/cell
M_tot   0.00 μB per cell
ΔE to the lowest computed polymorph   672.2 meV per atom

Lattice parameters (Å, degrees): 8.202 8.202 8.202 150.16 150.16 42.71
Sites, in units of the cell vectors:
Zr (0.250, 0.750, 0.500)
Zr (0.750, 0.250, 0.500)
Si (0.000, 0.000, 0.000)
Bi (0.398, 0.398, 0.000)
Bi (0.602, 0.602, 0.000)



This record from the Alexandria database describes a geometry-optimized SrAlPt2W structure. The functional is GGA-PBE.

Calculated values
DOS(E_F)   10.65 states/eV/cell
M_tot   0.00 μB per cell
DFT formation energy   2.369 eV per atom

Lattice parameters (Å, degrees): 4.993 4.993 5.017 90.00 90.00 90.00
Sites, in units of the cell vectors:
Sr (0.000, 0.000, 0.000)
Al (0.000, 0.000, 0.500)
Pt (0.000, 0.500, 0.000)
Pt (0.500, 0.000, 0.000)
W (0.500, 0.500, 0.500)



This record from the Alexandria database describes a geometry-optimized Rb2TeBr6Cl structure. The functional is GGA-PBE.

Calculated values
DOS(E_F)   1.14 states/eV/cell
M_tot   0.00 μB per cell
ΔE to the lowest computed polymorph   0.0 meV per atom

Lattice parameters (Å, degrees): 7.614 7.747 7.837 81.42 89.49 67.30
Sites, in units of the cell vectors:
Rb (0.145, 0.191, 0.303)
Rb (0.855, 0.809, 0.697)
Te (0.500, 0.500, 0.500)
Br (0.233, 0.716, 0.239)
Br (0.245, 0.376, 0.668)
Br (0.381, 0.806, 0.668)
Br (0.619, 0.194, 0.332)
Br (0.755, 0.624, 0.332)
Br (0.767, 0.284, 0.761)
Cl (0.000, 0.000, 0.000)



This record from the Alexandria database describes a geometry-optimized PmZn2CuPd4 structure. The functional is GGA-PBE.

Calculated values
DOS(E_F)   3.53 states/eV/cell
M_tot   0.00 μB per cell
DFT formation energy   -0.523 eV per atom

Lattice parameters (Å, degrees): 8.568 8.568 8.568 29.52 29.52 29.52
Sites, in units of the cell vectors:
Pm (0.000, 0.000, 0.000)
Zn (0.237, 0.237, 0.237)
Zn (0.763, 0.763, 0.763)
Cu (0.500, 0.500, 0.500)
Pd (0.128, 0.128, 0.128)
Pd (0.398, 0.398, 0.398)
Pd (0.602, 0.602, 0.602)
Pd (0.872, 0.872, 0.872)



This record from the Alexandria database describes a geometry-optimized LiCdI2 structure. The functional is GGA-PBE.

Calculated values
DOS(E_F)   2.89 states/eV/cell
M_tot   0.00 μB per cell
ΔE to the lowest computed polymorph   180.2 meV per atom

Lattice parameters (Å, degrees): 5.590 5.590 5.590 60.00 60.00 60.00
Sites, in units of the cell vectors:
Li (0.000, 0.000, 0.000)
Cd (0.500, 0.500, 0.500)
I (0.250, 0.250, 0.250)
I (0.750, 0.750, 0.750)



This record from the Alexandria database describes a geometry-optimized Ce2OsRh structure. The functional is GGA-PBE.

Calculated values
DOS(E_F)   6.71 states/eV/cell
M_tot   0.34 μB per cell
DFT formation energy   -0.385 eV per atom

Lattice parameters (Å, degrees): 3.417 3.417 7.152 90.00 90.00 90.00
Sites, in units of the cell vectors:
Ce (0.000, 0.000, 0.248)
Ce (0.000, 0.000, 0.752)
Os (0.500, 0.500, 0.000)
Rh (0.500, 0.500, 0.500)